No. 1
Computed, not measured: Fe2BPt2 after structural relaxation at the GGA-PBE level of DFT.

Energy of formation from the pure elements   0.5362 eV per atom
Size of the total moment   4.19 μB/f.u.
DOS(E_F)   9.74 states/eV per cell
Energy   -6.6007 eV/atom

Structure (CIF):
```
data_Fe2BPt2
_symmetry_space_group_name_H-M 'I 4/m m m'
_symmetry_Int_Tables_number 139
_symmetry_space_group_name_Hall '-I 4 2'
_cell_length_a 3.080
_cell_length_b 3.080
_cell_length_c 13.757
_cell_angle_alpha 90.00
_cell_angle_beta 90.00
_cell_angle_gamma 90.00
loop_
_atom_site_label
_atom_site_fract_x
_atom_site_fract_y
_atom_site_fract_z
Fe1 0.000 0.500 0.250
B1 0.000 0.000 0.000
Pt1 0.000 0.000 0.406
```

=====

No. 2
Computed, not measured: Cr2SbPb after structural relaxation at the GGA-PBE level of DFT.

ΔE_f (raw)   0.505 eV/atom
Size of the total moment   7.02 μB/f.u.
DOS(E_F)   5.75 states/eV per cell
Energy   -6.2642 eV/atom

Structure (CIF):
```
data_Cr2SbPb
_symmetry_space_group_name_H-M 'I m m 2'
_symmetry_Int_Tables_number 44
_symmetry_space_group_name_Hall 'I 2 -2'
_cell_length_a 3.985
_cell_length_b 4.119
_cell_length_c 10.186
_cell_angle_alpha 90.00
_cell_angle_beta 90.00
_cell_angle_gamma 90.00
loop_
_atom_site_label
_atom_site_fract_x
_atom_site_fract_y
_atom_site_fract_z
Cr1 0.000 0.000 0.000
Cr2 0.000 0.500 0.247
Sb1 0.000 0.000 0.511
Pb1 0.000 0.500 0.759
```

=====

No. 3
Computed, not measured: SiAsPb4 after structural relaxation at the GGA-PBE level of DFT.

ΔE_f (raw)   0.675 eV/atom
Size of the total moment   0.00 μB/f.u.
DOS(E_F)   19.82 states/eV per cell
Energy   -3.4758 eV/atom

Structure (CIF):
```
data_SiAsPb4
_symmetry_space_group_name_H-M 'F -4 3 m'
_symmetry_Int_Tables_number 216
_symmetry_space_group_name_Hall 'F -4 2 3'
_cell_length_a 8.982
_cell_length_b 8.982
_cell_length_c 8.982
_cell_angle_alpha 90.00
_cell_angle_beta 90.00
_cell_angle_gamma 90.00
loop_
_atom_site_label
_atom_site_fract_x
_atom_site_fract_y
_atom_site_fract_z
Si1 0.000 0.000 0.000
As1 0.250 0.250 0.750
Pb1 0.125 0.125 0.375
```

=====

No. 4
Computed, not measured: TlRu2Pt after structural relaxation at the GGA-PBE level of DFT.

Energy of formation from the pure elements   0.5030 eV per atom
Size of the total moment   0.41 μB/f.u.
DOS(E_F)   13.82 states/eV per cell
Energy   -6.2367 eV/atom

Structure (CIF):
```
data_TlRu2Pt
_symmetry_space_group_name_H-M 'C m m m'
_symmetry_Int_Tables_number 65
_symmetry_space_group_name_Hall '-C 2 2'
_cell_length_a 5.801
_cell_length_b 7.810
_cell_length_c 2.884
_cell_angle_alpha 90.00
_cell_angle_beta 90.00
_cell_angle_gamma 90.00
loop_
_atom_site_label
_atom_site_fract_x
_atom_site_fract_y
_atom_site_fract_z
Tl1 0.000 0.000 0.000
Ru1 0.250 0.250 0.500
Pt1 0.000 0.500 0.000
```